a:
Nd2ZrHg, optimized geometry, DFT PBE; size of the total moment = 0.0 μB per formula unit; space group = No. 123
1.0
-2.946 1.643 -0.941
-1.522 -4.493 -3.080
-2.651 -2.182 4.494
Nd Hg Zr
2 1 1
Cartesian
-0.761 -2.247 -1.540
-1.326 -1.091 2.247
-3.560 -2.516 0.237
-1.473 0.821 -0.470


b:
Nd2ZrHg, optimized geometry, DFT PBE; size of the total moment = 0.0 μB per formula unit; space group = No. 166
1.0
3.358 0.000 0.000
1.679 2.908 0.000
1.679 0.969 11.807
Nd Hg Zr
2 1 1
Cartesian
1.679 0.969 8.602
5.037 2.908 3.205
3.358 1.939 5.904
0.000 0.000 0.000


Winner for stability: a


a:
NiHg3, optimized geometry, DFT PBE; size of the total moment = 0.0 μB per formula unit; space group = No. 194
1.0
-5.093 2.933 3.462
-0.931 -1.889 -6.488
-1.281 -3.720 1.267
Hg Ni
6 2
Cartesian
-2.648 -3.803 -3.730
-2.339 -0.208 0.396
-4.657 1.127 1.972
-5.081 0.267 -0.981
-4.965 -2.469 -2.154
-2.224 -2.944 -0.778
-4.666 -1.464 1.096
-2.638 -1.212 -2.854


b:
NiHg3, optimized geometry, DFT PBE; size of the total moment = 0.0 μB per formula unit; space group = No. 10
1.0
5.071 0.000 0.009
0.000 3.925 0.000
3.357 0.000 4.908
Ni Hg
1 3
Cartesian
6.321 1.963 3.687
4.911 0.000 2.693
7.730 0.000 4.681
2.107 1.963 1.229


Winner for stability: b


a:
NiHg3, optimized geometry, DFT PBE; size of the total moment = 0.0 μB per formula unit; space group = No. 225
1.0
-4.575 1.441 0.284
-3.251 -2.750 2.225
-1.826 1.380 4.224
Hg Ni
3 1
Cartesian
0.000 0.000 0.000
-2.413 0.018 1.683
-4.826 0.035 3.367
-7.239 0.053 5.050


b:
NiHg3, optimized geometry, DFT PBE; size of the total moment = 0.0 μB per formula unit; space group = No. 187
1.0
-2.313 2.126 -0.742
1.449 -1.690 -2.338
-6.382 -6.646 0.847
Hg Ni
3 1
Cartesian
-1.400 -2.079 -1.594
-3.457 -3.600 0.459
-6.116 -6.369 0.812
-4.592 -5.402 -1.170


Winner for stability: b


a:
Ni2Hg3, optimized geometry, DFT PBE; size of the total moment = 0.0 μB per formula unit; space group = No. 166
1.0
10.696 -1.571 0.050
10.696 1.571 0.050
10.453 0.000 2.761
Hg Ni
3 2
Cartesian
0.000 0.000 0.000
6.668 0.000 0.599
25.177 0.000 2.263
12.590 0.000 1.131
19.255 0.000 1.730


b:
Ni2Hg3, optimized geometry, DFT PBE; size of the total moment = 0.0 μB per formula unit; space group = No. 164
1.0
2.235 -3.872 0.000
2.235 3.872 0.000
0.000 0.000 5.354
Ni Hg
2 3
Cartesian
2.235 -1.291 0.717
2.235 1.291 4.637
2.235 -1.291 3.432
0.000 0.000 0.000
2.235 1.291 1.922


Winner for stability: b


a:
Ni3Hg2, optimized geometry, DFT PBE; size of the total moment = 1.3 μB per formula unit; space group = No. 166
1.0
-5.644 -6.478 -5.974
-4.395 -8.500 -4.237
-6.861 -7.143 -3.378
Hg Ni
2 3
Cartesian
-10.105 -13.227 -8.125
-6.796 -8.895 -5.464
-3.283 -4.297 -2.640
-13.617 -17.824 -10.949
0.000 0.000 0.000


b:
Ni3Hg2, optimized geometry, DFT PBE; size of the total moment = 0.0 μB per formula unit; space group = No. 164
1.0
2.140 -3.706 0.000
2.140 3.706 0.000
0.000 0.000 5.315
Hg Ni
2 3
Cartesian
2.140 -1.235 0.990
2.140 1.235 4.325
2.140 -1.235 3.537
2.140 1.235 1.779
0.000 0.000 0.000


c:
Ni3Hg2, optimized geometry, DFT PBE; size of the total moment = 0.1 μB per formula unit; space group = No. 43
1.0
0.000 4.474 6.488
2.597 0.000 6.488
2.597 4.474 0.000
Hg Ni
4 6
Cartesian
1.992 6.140 7.174
3.291 5.044 10.417
3.291 8.377 9.046
1.992 2.807 5.802
1.214 2.237 3.244
5.110 4.474 6.488
3.244 3.889 7.933
4.542 7.294 11.176
3.244 5.058 5.043
4.542 6.126 8.287


Winner for stability: c


a:
Ni5Hg4, optimized geometry, DFT PBE; size of the total moment = 0.1 μB per formula unit; space group = No. 139
1.0
-4.179 4.179 2.003
4.179 -4.179 2.003
4.179 4.179 -2.003
Hg Ni
4 5
Cartesian
2.578 0.000 0.000
0.000 5.781 0.000
0.000 2.578 0.000
5.781 0.000 0.000
1.283 1.283 2.003
1.283 -1.283 2.003
-1.283 1.283 2.003
2.896 2.896 0.000
0.000 0.000 0.000


b:
Ni5Hg4, optimized geometry, DFT PBE; size of the total moment = 0.0 μB per formula unit; space group = No. 193
1.0
7.767 0.000 0.000
-3.884 6.726 0.000
0.000 0.000 5.373
Hg Ni
8 10
Cartesian
4.929 0.000 4.030
0.000 0.000 2.687
2.838 0.000 1.343
1.419 2.457 4.030
2.465 4.269 1.343
-2.465 4.269 4.030
0.000 0.000 0.000
-1.419 2.457 1.343
3.884 2.242 2.687
-2.679 4.640 1.343
1.204 2.086 1.343
2.409 0.000 4.030
5.358 0.000 1.343
3.884 2.242 0.000
2.679 4.640 4.030
0.000 4.484 2.687
-1.204 2.086 4.030
0.000 4.484 0.000


Winner for stability: a